Crystalline IrO2 at its relaxed geometry, computed with PBE.

a b c (Å): 5.220 5.223 6.601
angles (deg): 90.00 90.00 90.00
Fractional positions:
Ir (0.000, 0.500, 0.500)
Ir (0.000, 0.000, 0.000)
Ir (0.500, 0.000, 0.500)
Ir (0.500, 0.500, 0.000)
O (0.262, 0.739, 0.498)
O (0.262, 0.761, 0.998)
O (0.762, 0.761, 0.502)
O (0.238, 0.261, 0.998)
O (0.738, 0.239, 0.002)
O (0.738, 0.261, 0.502)
O (0.238, 0.239, 0.498)
O (0.762, 0.739, 0.002)

Summary:
Total moment = 0.002 μB per cell
Uncorrected energy = -80.48 eV per cell

=====

Crystalline IrO at its relaxed geometry, computed with PBE.

a b c (Å): 3.197 3.197 3.197
angles (deg): 60.00 60.00 60.00
Each line ends with the local moment (μB).
Fractional positions:
O (0.500, 0.500, 0.500)  0.03
Ir (0.000, 0.000, 0.000)  0.53

Summary:
Total moment = 0.569 μB per cell
Uncorrected energy = -11.82 eV per cell

=====

Crystalline IrOsO4 at its relaxed geometry, computed with PBE.

a b c (Å): 4.488 3.187 4.503
angles (deg): 90.00 90.30 90.00
Fractional positions:
O (0.696, 0.500, 0.195)
O (0.812, 0.000, 0.687)
O (0.304, 0.500, 0.805)
O (0.188, 0.000, 0.313)
Ir (0.500, 0.000, 0.000)
Os (0.000, 0.500, 0.500)

Summary:
Total moment = 0.003 μB per cell
Uncorrected energy = -45.03 eV per cell

=====

Crystalline IrOsO4 at its relaxed geometry, computed with PBE.

a b c (Å): 4.491 4.491 3.198
angles (deg): 90.00 90.00 90.45
Fractional positions:
Ir (0.500, 0.500, 0.500)
O (0.305, 0.305, 0.000)
O (0.695, 0.695, 0.000)
O (0.188, 0.812, 0.500)
O (0.812, 0.188, 0.500)
Os (0.000, 0.000, 0.000)

Summary:
Total moment = 0.003 μB per cell
Uncorrected energy = -45.04 eV per cell